(1)
Computed, not measured: Er2Mg3UN6 after structural relaxation at the PBE level of DFT.

Values from the calculation:
As for the spin magnetization: 0.000 μB/f.u. As for the energy relative to the elements, uncorrected: -1289 meV per atom. The value obtained for the total energy is -90.6 eV per formula unit.

Lattice parameters (Å, degrees): 5.831 5.831 5.558 100.05 100.05 120.07
Positions (direct):
Er1 0.333 0.667 0.000
Er2 0.667 0.333 0.000
Mg1 0.165 0.835 0.500
Mg2 0.835 0.165 0.500
Mg3 0.500 0.500 0.500
U1 0.000 0.000 0.000
N1 0.919 0.604 0.757
N2 0.765 0.765 0.234
N3 0.081 0.396 0.243
N4 0.604 0.919 0.757
N5 0.235 0.235 0.766
N6 0.396 0.081 0.243

---

(2)
Computed, not measured: Y2ErMgN after structural relaxation at the PBE level of DFT.

Values from the calculation:
As for the spin magnetization: 0.000 μB/f.u. As for the energy relative to the elements, uncorrected: -723 meV per atom. The value obtained for the total energy is -31.0 eV per formula unit.

Lattice parameters (Å, degrees): 4.787 4.903 4.903 90.00 90.00 90.00
Positions (direct):
Y1 0.000 0.000 0.500
Y2 0.000 0.500 0.000
Er1 0.500 0.000 0.000
Mg1 0.500 0.500 0.500
N1 0.000 0.000 0.000

---

(3)
Computed, not measured: ErMgZr2N4 after structural relaxation at the PBE level of DFT.

Values from the calculation:
As for the spin magnetization: 0.000 μB/f.u. As for the energy relative to the elements, uncorrected: -1539 meV per atom. The value obtained for the total energy is -68.9 eV per formula unit.

Lattice parameters (Å, degrees): 3.279 5.649 5.710 109.35 90.00 90.00
Positions (direct):
Er1 0.000 0.000 0.000
Mg1 0.500 0.500 0.000
Zr1 0.500 0.000 0.500
Zr2 0.000 0.500 0.500
N1 0.500 0.257 0.261
N2 0.500 0.743 0.739
N3 0.000 0.248 0.738
N4 0.000 0.752 0.262

---

(4)
Computed, not measured: NaEr2Mg after structural relaxation at the PBE level of DFT.

Values from the calculation:
For the formation energy, the calculation gives 4.5 kcal/mol of atoms. As for the spin magnetization: 0.000 μB/f.u. The value obtained for the total energy is -11.3 eV per formula unit.

Lattice parameters (Å, degrees): 3.404 3.404 12.459 82.15 82.15 60.00
Positions (direct):
Na1 0.000 0.000 0.000
Mg1 0.500 0.500 0.500
Er1 0.095 0.095 0.715
Er2 0.905 0.905 0.285

---

Please write out number 1 again, unchanged.
Computed, not measured: Er2Mg3UN6 after structural relaxation at the PBE level of DFT.

Values from the calculation:
As for the spin magnetization: 0.000 μB/f.u. As for the energy relative to the elements, uncorrected: -1289 meV per atom. The value obtained for the total energy is -90.6 eV per formula unit.

Lattice parameters (Å, degrees): 5.831 5.831 5.558 100.05 100.05 120.07
Positions (direct):
Er1 0.333 0.667 0.000
Er2 0.667 0.333 0.000
Mg1 0.165 0.835 0.500
Mg2 0.835 0.165 0.500
Mg3 0.500 0.500 0.500
U1 0.000 0.000 0.000
N1 0.919 0.604 0.757
N2 0.765 0.765 0.234
N3 0.081 0.396 0.243
N4 0.604 0.919 0.757
N5 0.235 0.235 0.766
N6 0.396 0.081 0.243